Entry 1:
Density functional theory data (PBE-GGA) for crystalline Mo2PRu at its relaxed geometry.

Summary:
For the formation energy, the calculation gives -0.22 eV per formula unit. The calculation puts the density at 9.33 Mg/m³. For the density of states at the Fermi level, the calculation gives 0.813 states/eV per atom. The space group is Pmmm.

Lattice parameters (Å, degrees): 2.872 4.031 4.981 90.00 90.00 90.00
Fractional coordinates of all 4 atoms:
Mo1 0.000 0.000 0.760
Mo2 0.000 0.000 0.240
P1 0.500 0.500 0.000
Ru1 0.500 0.500 0.500



Entry 2:
Density functional theory data (PBE-GGA) for crystalline YMgP2O8 at its relaxed geometry.

Summary:
The calculation puts the density at 3.31 Mg/m³. The calculation puts the energy relative to the elements, uncorrected at -2511 meV per atom. For the density of states at the Fermi level, the calculation gives 0.640 states/eV per atom. The space group is P-3m1.

Lattice parameters (Å, degrees): 5.148 5.148 6.618 90.00 90.00 120.00
Fractional coordinates of all 12 atoms:
Y1 0.000 0.000 0.500
Mg1 0.000 0.000 0.000
P1 0.667 0.333 0.285
P2 0.333 0.667 0.715
O1 0.831 0.169 0.212
O2 0.831 0.662 0.212
O3 0.338 0.169 0.212
O4 0.662 0.831 0.788
O5 0.333 0.667 0.481
O6 0.667 0.333 0.519
O7 0.169 0.831 0.788
O8 0.169 0.338 0.788